! MnCoPIrF PBE with a Hubbard U optimized geometry; values from VASP
&SYSTEM
  ibrav = 0, nat = 5, ntyp = 5
/
ATOMIC_SPECIES
P 30.97 P.upf
Ir 192.22 Ir.upf
Co 58.93 Co.upf
Mn 54.94 Mn.upf
F 19.00 F.upf
CELL_PARAMETERS angstrom
2.979 0.000 -0.359
0.000 3.031 0.000
-2.020 0.000 8.286
ATOMIC_POSITIONS angstrom
P 2.081 1.516 1.146
Ir 0.804 1.516 3.076
Co 0.498 0.000 0.548
Mn -0.468 0.000 5.064
F 1.203 0.000 6.392
! Density (g/cm³): 8.141
! Calculated volume (Å³ per cell): 72.63
! SG: No. 25
! Calculated total energy (eV per atom): -6.369